SrCaPd, optimized geometry, DFT PBE; D(E_F) = 0.57 states/eV per atom; spin magnetization = 0.00 μB/f.u.; electronic total energy = -3.398 eV per atom; ΔE_f = -0.439 eV/atom
1.0
-3.544 0.564 1.007
-0.997 -3.133 -1.755
3.332 -2.258 6.095
Sr Pd Ca
1 1 1
direct
0.035 0.035 0.071
0.674 0.674 0.349
0.290 0.290 0.580

***

AcNdTmPb, optimized geometry, DFT PBE; D(E_F) = 1.59 states/eV per atom; spin magnetization = 0.00 μB/f.u.; electronic total energy = -4.326 eV per atom; ΔE_f = -0.062 eV/atom
1.0
-0.575 5.524 1.084
-1.335 3.579 -4.175
-5.126 2.393 -0.145
Pb Tm Ac Nd
1 1 1 1
direct
0.250 0.250 0.250
0.000 0.000 0.000
0.750 0.750 0.750
0.500 0.500 0.500

***

Sc2Al3Ga2, optimized geometry, DFT PBE; D(E_F) = 0.52 states/eV per atom; spin magnetization = 0.00 μB/f.u.; electronic total energy = -4.725 eV per atom; ΔE_f = -0.447 eV/atom
1.0
-0.261 -2.695 3.007
3.956 -3.593 -0.154
4.294 3.341 3.368
Al Sc Ga
3 2 2
direct
0.699 0.602 0.863
0.000 0.000 0.000
0.301 0.398 0.137
0.387 0.226 0.680
0.613 0.774 0.320
0.899 0.203 0.365
0.101 0.797 0.635

***

K4SnSe4, optimized geometry, DFT PBE; D(E_F) = 0.00 states/eV per atom; spin magnetization = 0.00 μB/f.u.; electronic total energy = -3.520 eV per atom; E_form (uncorrected) = -9.4 eV/f.u.
1.0
-7.449 -0.563 3.782
-4.707 -0.241 -9.306
1.050 -14.874 -0.145
Se K Sn
16 16 4
direct
0.955 0.250 0.828
0.545 0.250 0.328
0.120 0.250 0.174
0.357 0.049 0.916
0.857 0.951 0.584
0.357 0.451 0.916
0.380 0.250 0.674
0.620 0.750 0.326
0.143 0.451 0.416
0.643 0.951 0.084
0.643 0.549 0.084
0.045 0.750 0.172
0.455 0.750 0.672
0.880 0.750 0.826
0.857 0.549 0.584
0.143 0.049 0.416
0.000 0.000 0.000
0.158 0.950 0.728
0.658 0.050 0.772
0.016 0.250 0.578
0.658 0.450 0.772
0.516 0.750 0.922
0.342 0.950 0.228
0.000 0.500 0.000
0.500 0.000 0.500
0.484 0.250 0.078
0.342 0.550 0.228
0.842 0.450 0.272
0.158 0.550 0.728
0.500 0.500 0.500
0.842 0.050 0.272
0.984 0.750 0.422
0.738 0.750 0.165
0.762 0.750 0.665
0.262 0.250 0.835
0.238 0.250 0.335